## one
The following is a PBE-GGA calculation of crystalline Sm2SbBr at its relaxed geometry, from Alexandria via LeMat-Bulk.

It has space group Fm-3m (No. 225), with a = 7.571 Å, b = 7.571 Å, c = 7.571 Å, α = 90.00°, β = 90.00° and γ = 90.00°. Symmetry generates all atoms from Sm at (0.250, 0.250, 0.250), Sb at (0.000, 0.000, 0.000) and Br at (0.000, 0.000, 0.500).

---

## two
The following is a PBE-GGA calculation of crystalline Sm2SbBr at its relaxed geometry, from Alexandria via LeMat-Bulk.

It has space group R-3m (No. 166, hexagonal axes), with a = 4.4904 Å, b = 4.4904 Å, c = 20.4628 Å, α = 90.00°, β = 90.00° and γ = 120.00°. Symmetry generates all atoms from Sm at (0.0000, 0.0000, 0.2462), Sb at (0.0000, 0.0000, 0.5000) and Br at (0.0000, 0.0000, 0.0000).

---

Tell me which of them is the least stable. Sure, it is one.

---

## one
The following is a PBE-GGA calculation of crystalline SnSb2Br8 at its relaxed geometry, from Alexandria via LeMat-Bulk.

It has space group C2/m (No. 12), with a = 14.171 Å, b = 7.910 Å, c = 9.007 Å, α = 90.00°, β = 93.06° and γ = 90.00°. Symmetry generates all atoms from Sn at (0.000, 0.000, 0.000), Sb at (0.140, 0.000, 0.368), Br at (0.080, 0.000, 0.707), Br at (0.141, 0.240, 0.163) and Br at (0.180, 0.500, 0.575).

---

## two
The following is a PBE-GGA calculation of crystalline SnSb2Br8 at its relaxed geometry, from Alexandria via LeMat-Bulk.

It has space group C2/m (No. 12), with a = 13.161 Å, b = 10.368 Å, c = 7.863 Å, α = 90.00°, β = 109.72° and γ = 90.00°. Symmetry generates all atoms from Sn at (0.000, 0.000, 0.000), Sb at (0.148, 0.000, 0.611), Br at (0.087, 0.194, 0.789), Br at (0.157, 0.500, 0.189) and Br at (0.212, 0.000, 0.299).

---

Tell me which of them is the least stable. Sure, it is two.